Entry 1:
KZn2Ga | PBE | optimized geometry Values from VASP.

```
&SYSTEM
  ibrav = 0, nat = 4, ntyp = 3
/
ATOMIC_SPECIES
K 39.10 K.upf
Zn 65.41 Zn.upf
Ga 69.72 Ga.upf
ATOMIC_POSITIONS angstrom
K 0.0000 0.0000 0.0000
Zn 0.0000 0.0000 3.5885
Zn 0.0000 0.0000 14.8467
Ga 0.0000 0.0000 9.2176
CELL_PARAMETERS angstrom
2.2026 1.2717 6.1451
-2.2026 1.2717 6.1451
0.0000 -2.5434 6.1451
```

## Properties
ΔH_f (0 K) = -0.76 kcal/mol of atoms
raw total energy = -6.80 eV per cell
space group = R-3m

Entry 2:
BaHfMg2 | PBE | optimized geometry Values from VASP.

```
&SYSTEM
  ibrav = 0, nat = 4, ntyp = 3
/
ATOMIC_SPECIES
Ba 137.33 Ba.upf
Hf 178.49 Hf.upf
Mg 24.30 Mg.upf
ATOMIC_POSITIONS angstrom
Ba 0.0000 0.0000 0.0000
Hf 3.8629 3.8629 3.8629
Mg 1.9314 1.9314 1.9314
Mg 5.7943 5.7943 5.7943
CELL_PARAMETERS angstrom
0.0000 3.8629 3.8629
3.8629 0.0000 3.8629
3.8629 3.8629 0.0000
```

## Properties
ΔH_f (0 K) = 9.65 kcal/mol of atoms
energy above the lowest structure with this stoichiometry = 0 meV per atom
raw total energy = -13.39 eV per cell
space group = Fm-3m

Entry 3:
TbEu2Br | PBE | optimized geometry Values from VASP.

```
&SYSTEM
  ibrav = 0, nat = 4, ntyp = 3
/
ATOMIC_SPECIES
Tb 158.93 Tb.upf
Eu 151.96 Eu.upf
Br 79.90 Br.upf
ATOMIC_POSITIONS angstrom
Tb 0.0000 0.0000 0.0000
Eu 0.0000 0.0000 7.7149
Eu 0.0000 0.0000 24.4929
Br 0.0000 0.0000 16.1039
CELL_PARAMETERS angstrom
1.9222 1.1098 10.7359
-1.9222 1.1098 10.7359
0.0000 -2.2195 10.7359
```

## Properties
energy above the lowest structure with this stoichiometry = 0 meV per atom
raw total energy = -29.44 eV per cell
space group = R-3m
uncorrected formation energy = -647.3 meV per atom

Entry 4:
TaAl2Zn | PBE | optimized geometry Values from VASP.

```
&SYSTEM
  ibrav = 0, nat = 8, ntyp = 3
/
ATOMIC_SPECIES
Ta 180.95 Ta.upf
Al 26.98 Al.upf
Zn 65.41 Zn.upf
ATOMIC_POSITIONS angstrom
Ta 0.0000 0.0000 0.0000
Ta 0.0000 3.5463 1.3555
Al 1.7731 2.0004 -0.6778
Al 5.0921 1.7731 0.6778
Al 1.7731 1.5459 2.0333
Al -1.5459 1.7731 3.3888
Zn 3.5463 0.0000 1.3555
Zn 0.0000 0.0000 2.7111
CELL_PARAMETERS angstrom
-3.5463 3.5463 2.7111
3.5463 -3.5463 2.7111
3.5463 3.5463 -2.7111
```

## Properties
ΔH_f (0 K) = 6.53 kcal/mol of atoms
raw total energy = -38.96 eV per cell
space group = I-42d

Entry 5:
Ga2PdI | PBE | optimized geometry Values from VASP.

```
&SYSTEM
  ibrav = 0, nat = 4, ntyp = 3
/
ATOMIC_SPECIES
Ga 69.72 Ga.upf
Pd 106.42 Pd.upf
I 126.90 I.upf
ATOMIC_POSITIONS angstrom
Ga 1.8035 1.8035 1.8035
Ga 5.4104 5.4104 5.4104
Pd 0.0000 0.0000 0.0000
I 3.6070 3.6070 3.6070
CELL_PARAMETERS angstrom
0.0000 3.6070 3.6070
3.6070 0.0000 3.6070
3.6070 3.6070 0.0000
```

## Properties
energy above the lowest structure with this stoichiometry = 410 meV per atom
raw total energy = -11.73 eV per cell
space group = Fm-3m
uncorrected formation energy = 266.9 meV per atom

Entry 6:
PaPd6Pt2 | PBE | optimized geometry Values from VASP.

```
&SYSTEM
  ibrav = 0, nat = 18, ntyp = 3
/
ATOMIC_SPECIES
Pa 231.04 Pa.upf
Pd 106.42 Pd.upf
Pt 195.08 Pt.upf
ATOMIC_POSITIONS angstrom
Pa 5.8222 3.2900 3.6695
Pa 6.2208 -3.2900 1.2232
Pd 4.8098 3.6754 0.9869
Pd 2.5943 1.1843 1.7354
Pd 7.6317 3.6754 1.4594
Pd 5.3028 1.1443 2.2184
Pd 2.1958 -1.1843 4.1817
Pd 7.1387 1.1443 0.2279
Pd 4.9043 -1.1443 4.6647
Pd 9.8472 1.1843 0.7109
Pd 6.7402 -1.1443 2.6742
Pd 4.4113 -3.6754 3.4332
Pd 9.4487 -1.1843 3.1572
Pd 7.2332 -3.6754 3.9057
Pt 3.5671 1.2779 4.4474
Pt 3.9657 -1.2779 2.0011
Pt 8.0774 1.2779 2.8915
Pt 8.4759 -1.2779 0.4452
CELL_PARAMETERS angstrom
6.4200 -4.8169 0.0000
6.4200 4.8169 0.0000
-0.7970 0.0000 4.8926
```

## Properties
ΔH_f (0 K) = -8.69 kcal/mol of atoms
energy above the lowest structure with this stoichiometry = 135 meV per atom
raw total energy = -112.26 eV per cell
space group = C2/c

Entry 7:
K3LaPu2Se6 | PBE | optimized geometry Values from VASP.

```
&SYSTEM
  ibrav = 0, nat = 12, ntyp = 4
/
ATOMIC_SPECIES
K 39.10 K.upf
La 138.91 La.upf
Pu 244.00 Pu.upf
Se 78.96 Se.upf
ATOMIC_POSITIONS angstrom
K 0.0000 0.0000 0.0000
K 3.7596 2.1541 0.0000
K 3.7596 -2.1541 0.0000
La 2.5048 0.0000 3.8234
Pu 2.5048 4.3391 3.8234
Pu 2.5048 -4.3391 3.8234
Se 1.2163 2.2309 2.2385
Se -0.0717 0.0000 5.4087
Se 1.2163 -2.2309 2.2385
Se 3.7933 2.2309 5.4084
Se 5.0813 0.0000 2.2382
Se 3.7933 -2.2309 5.4084
CELL_PARAMETERS angstrom
3.7596 -6.5121 0.0000
3.7596 6.5121 0.0000
-2.5095 0.0000 7.6469
```

## Properties
raw total energy = -76.72 eV per cell
space group = C2/m
uncorrected formation energy = -1577.5 meV per atom

Entry 8:
K6U5As2O23 | PBE | optimized geometry Values from VASP.

```
&SYSTEM
  ibrav = 0, nat = 72, ntyp = 4
/
ATOMIC_SPECIES
K 39.10 K.upf
U 238.03 U.upf
As 74.92 As.upf
O 16.00 O.upf
ATOMIC_POSITIONS angstrom
K 0.0230 1.0004 1.8691
K -0.5254 11.5026 5.4245
K 0.0327 2.8677 5.4560
K 0.5811 9.6353 1.9006
K 1.2720 5.1542 2.0221
K 0.7236 7.3488 5.5775
K 5.2663 17.6572 1.5333
K 4.7179 19.8518 5.0887
K 5.4088 15.3707 5.2102
K 5.9573 22.1383 1.6548
K 6.5154 13.5034 1.6863
K 5.9670 24.0056 5.2417
U 1.9831 16.0932 3.3567
U 1.4347 21.4158 6.9121
U 1.8331 14.5284 7.0059
U 2.3815 22.9806 3.4505
U 3.5434 0.0000 0.0000
U 2.9950 12.5030 3.5554
U 3.6084 2.0254 3.6603
U 4.1569 10.4776 0.1049
U 4.5553 3.5902 0.1987
U 4.0068 8.9128 3.7541
As 0.5271 17.6215 6.7946
As 1.0756 19.8875 3.2392
As 4.9144 5.1185 3.8717
As 5.4628 7.3845 0.3163
O -0.5052 5.2589 4.0883
O 0.0432 7.2441 0.5329
O 0.1703 15.7850 3.0722
O -0.3782 21.7240 6.6276
O 0.0586 13.9765 6.6919
O 0.6070 23.5325 3.1365
O 0.6565 0.5394 6.9077
O 1.2050 11.9636 3.3523
O 1.2764 16.5756 5.6108
O 1.8248 20.9334 2.0554
O 2.1020 16.6199 1.0390
O 1.5536 20.8891 4.5944
O 1.8675 2.6502 3.3271
O 1.3190 9.8528 6.8825
O 1.9016 18.4038 3.3482
O 1.3531 19.1052 6.9036
O 2.7559 3.9927 0.0109
O 2.2075 8.5103 3.5663
O 2.5619 14.2227 2.1440
O 2.0135 23.2863 5.6994
O 2.3432 14.2845 4.7795
O 2.8916 23.2245 1.2241
O 2.9950 0.0000 3.5554
O 3.5434 12.5030 0.0000
O 3.0983 1.7815 5.8867
O 3.6468 10.7215 2.3313
O 3.9765 1.7197 1.4114
O 3.4280 10.7833 4.9668
O 3.7825 16.4957 3.5445
O 3.2340 21.0133 7.0999
O 4.6368 5.9008 0.2072
O 4.0884 6.6022 3.7626
O 4.6709 15.1532 0.2283
O 4.1225 22.3558 3.7837
O 4.4364 4.1169 2.5165
O 3.8879 8.3861 6.0719
O 4.1651 4.0726 5.0554
O 4.7136 8.4304 1.5000
O 4.7850 13.0424 3.7585
O 5.3334 24.4666 0.2031
O 5.3829 1.4735 3.9743
O 5.9314 11.0295 0.4189
O 6.3681 3.2820 0.4832
O 5.8197 9.2210 4.0387
O 5.9467 17.7619 6.5779
O 6.4951 19.7471 3.0225
CELL_PARAMETERS angstrom
7.0868 0.0000 0.0000
0.0000 25.0060 0.0000
-1.0969 0.0000 7.1108
```

## Properties
raw total energy = -556.82 eV per cell
space group = P2_1/c
uncorrected formation energy = -2556.8 meV per atom

Entry 9:
PRuSeN | PBE | optimized geometry Values from VASP.

```
&SYSTEM
  ibrav = 0, nat = 4, ntyp = 4
/
ATOMIC_SPECIES
P 30.97 P.upf
Ru 101.07 Ru.upf
Se 78.96 Se.upf
N 14.01 N.upf
ATOMIC_POSITIONS angstrom
P 0.0000 0.0000 0.0000
Ru 1.5592 0.0000 1.6423
Se -0.6197 0.0000 2.9015
N 1.6618 0.0000 5.3141
CELL_PARAMETERS angstrom
3.8502 -1.4123 0.0000
3.8502 1.4123 0.0000
-1.2312 0.0000 5.3533
```

## Properties
energy above the lowest structure with this stoichiometry = 143 meV per atom
raw total energy = -26.23 eV per cell
space group = Cm
uncorrected formation energy = 66.6 meV per atom

Entry 10:
Nd5Sm2Tm2 | PBE | optimized geometry Values from VASP.

```
&SYSTEM
  ibrav = 0, nat = 9, ntyp = 3
/
ATOMIC_SPECIES
Nd 144.24 Nd.upf
Sm 150.36 Sm.upf
Tm 168.93 Tm.upf
ATOMIC_POSITIONS angstrom
Nd 0.0000 0.0000 0.0000
Nd 2.5469 0.0000 2.5802
Nd 2.5377 0.0000 7.6880
Nd 10.2439 0.0000 0.0086
Nd 10.2347 0.0000 5.1164
Sm -0.0532 0.0000 5.1199
Sm 12.8348 0.0000 2.5767
Tm 5.1210 0.0000 5.1059
Tm 7.6606 0.0000 2.5907
CELL_PARAMETERS angstrom
7.6926 -2.5651 0.0000
7.6926 2.5651 0.0000
-2.6037 0.0000 7.6966
```

## Properties
ΔH_f (0 K) = 0.35 kcal/mol of atoms
energy above the lowest structure with this stoichiometry = 0 meV per atom
raw total energy = -42.08 eV per cell
space group = C2/m

Entry 11:
Cd3Rh | PBE | optimized geometry Values from VASP.

```
&SYSTEM
  ibrav = 0, nat = 4, ntyp = 2
/
ATOMIC_SPECIES
Cd 112.41 Cd.upf
Rh 102.91 Rh.upf
ATOMIC_POSITIONS angstrom
Cd 0.0000 0.0000 0.0000
Cd 1.5196 0.8774 2.6371
Cd 1.5196 0.8774 7.0222
Rh 0.0000 0.0000 4.8296
CELL_PARAMETERS angstrom
3.0393 0.0000 0.0000
-1.5196 2.6321 0.0000
0.0000 0.0000 9.6593
```

## Properties
ΔH_f (0 K) = 0.38 kcal/mol of atoms
raw total energy = -10.03 eV per cell
space group = P-6m2